Entry 1:
A plane-wave DFT calculation with PBE-GGA was carried out for an optimized crystal structure of TiSb2Pd.

Summary:
SG ... No. 123
Formation energy from raw total energies ... -5.32 kcal/mol of atoms
D(E_F) ... 0.770 states/eV per atom
Mass density ... 8.34 Mg/m³

Cell: 3.5150 3.5150 6.4119 Å, 90.00 90.00 90.00°
Fractional coordinates of all 4 atoms:
Pd (0.5000, 0.5000, 0.0000)
Sb (0.0000, 0.0000, 0.2568)
Sb (0.0000, 0.0000, 0.7432)
Ti (0.5000, 0.5000, 0.5000)



Entry 2:
A plane-wave DFT calculation with PBE-GGA was carried out for an optimized crystal structure of Ti2SbPd8.

Summary:
SG ... No. 12
Energy above the lowest structure with this stoichiometry ... 0.0 meV per atom
Formation energy from raw total energies ... -11.90 kcal/mol of atoms
D(E_F) ... 0.685 states/eV per atom
Mass density ... 10.13 Mg/m³

Cell: 4.0491 6.3275 7.3918 Å, 105.24 105.90 90.00°
Fractional coordinates of all 11 atoms:
Pd (0.8440, 0.7788, 0.6880)
Pd (0.4007, 0.5349, 0.8013)
Pd (0.3201, 0.0803, 0.6402)
Pd (0.1560, 0.2212, 0.3120)
Pd (0.9571, 0.2658, 0.9143)
Pd (0.0429, 0.7342, 0.0857)
Pd (0.6799, 0.9197, 0.3598)
Pd (0.5993, 0.4651, 0.1987)
Ti (0.7831, 0.3397, 0.5662)
Ti (0.2169, 0.6603, 0.4338)
Sb (0.5000, 0.0000, 0.0000)



Entry 3:
A plane-wave DFT calculation with PBE-GGA was carried out for an optimized crystal structure of TiSb2Pd.

Summary:
SG ... No. 123
Formation energy from raw total energies ... -7.69 kcal/mol of atoms
D(E_F) ... 0.566 states/eV per atom
Mass density ... 8.45 Mg/m³

Cell: 3.5557 4.6898 4.6898 Å, 90.00 90.00 90.00°
Fractional coordinates of all 4 atoms:
Sb (0.0000, 0.5000, 0.0000)
Sb (0.0000, 0.0000, 0.5000)
Ti (0.5000, 0.0000, 0.0000)
Pd (0.5000, 0.5000, 0.5000)



> Number 2 is which compound?

Ti2SbPd8



> Look up the formation energy from raw total energies of the second one.

-11.90 kcal/mol of atoms